1.
This record from OQMD via LeMat-Bulk describes an optimized crystal structure of NaPrTm. The functional is PBE.

Polymorph energy (0 for the lowest one) in meV/atom: 0
Density in g cm⁻³: 5.11

Cell lengths 5.348, 5.348, 5.348 Å; angles 60.00, 60.00, 60.00 degrees
Sites, in units of the cell vectors:
Na  0.000  0.000  0.000
Pr  0.250  0.250  0.250
Tm  0.750  0.750  0.750


2.
This record from OQMD via LeMat-Bulk describes an optimized crystal structure of NaPrU. The functional is PBE.

Polymorph energy (0 for the lowest one) in meV/atom: 0
Density in g cm⁻³: 6.32

Cell lengths 5.306, 5.306, 5.306 Å; angles 60.00, 60.00, 60.00 degrees
Sites, in units of the cell vectors:
Na  0.000  0.000  0.000
Pr  0.250  0.250  0.250
U  0.750  0.750  0.750